1.
ZrRePd2C PBE optimized geometry; space group = P4/mmm (123); total DFT energy (no corrections) = -7.756 eV per atom
1.0
4.103 0.000 0.000
0.000 4.103 0.000
0.000 0.000 4.484
Zr Re Pd C
1 1 2 1
Direct
0.000 0.000 0.000
0.500 0.500 0.000
0.000 0.500 0.500
0.500 0.000 0.500
0.000 0.000 0.500

2.
BeTl2Pb PBE optimized geometry; distance to the lowest polymorph of the same formula = 0.95 eV per formula unit; space group = P4/mmm (123)
1.0
5.377 0.000 0.000
0.000 5.377 0.000
0.000 0.000 3.698
Be Tl Pb
1 2 1
Direct
0.000 0.000 0.000
0.000 0.500 0.500
0.500 0.000 0.500
0.500 0.500 0.000

no.,ρ (g/cm3)
1,11.05
2,9.71